An optimized crystal structure of Ba2TaPt. Source: Alexandria, functional GGA-PBE.

Output
Crystal system: tetragonal
VASP energy (eV/atom): -5.375
Formation energy from the elements (kJ per mole of atoms): 6
Total magnetic moment (μB/f.u.): 0.00

Unit cell a=3.6035 b=3.6034 c=10.1494 alpha=90.00 beta=90.00 gamma=90.00
Positions (direct):
Ba (0.5000, 0.5000, 0.3274)
Ba (0.0000, 0.0000, 0.9338)
Ta (0.5000, 0.5000, 0.6581)
Pt (0.0000, 0.0000, 0.5807)